Density functional theory data (GGA-PBE) for Tb2Y2Al4Zn after structural relaxation.

Cell lengths 6.636, 6.636, 6.636 Å; angles 95.94, 116.63, 116.63 degrees
Sites, in units of the cell vectors:
Tb: 0.000 0.694 0.694
Tb: 0.000 0.306 0.306
Y: 0.500 0.750 0.250
Y: 0.500 0.250 0.750
Al: 0.000 0.755 0.245
Al: 0.511 0.755 0.755
Al: 0.000 0.245 0.755
Al: 0.489 0.245 0.245
Zn: 0.000 0.000 0.000

Output
calculated total energy = -4.4209 eV/atom
energy of formation = -15 kJ per mole of atoms

***

Density functional theory data (GGA-PBE) for AlZn2Pd6 after structural relaxation.

Cell lengths 4.155, 5.860, 7.141 Å; angles 114.22, 106.67, 90.00 degrees
Sites, in units of the cell vectors:
Al: 0.000 0.000 0.000
Zn: 0.666 0.667 0.334
Zn: 0.334 0.333 0.666
Pd: 0.164 0.413 0.329
Pd: 0.836 0.084 0.671
Pd: 0.836 0.587 0.671
Pd: 0.500 0.244 0.000
Pd: 0.164 0.916 0.329
Pd: 0.500 0.756 0.000

Output
calculated total energy = -4.5345 eV/atom
energy of formation = -36 kJ per mole of atoms

***

Density functional theory data (GGA-PBE) for Pm2SmHg5 after structural relaxation.

Cell lengths 5.281, 5.281, 8.377 Å; angles 108.37, 108.37, 90.00 degrees
Sites, in units of the cell vectors:
Pm: 0.733 0.733 0.466
Pm: 0.267 0.267 0.534
Sm: 0.000 0.000 0.000
Hg: 0.500 0.500 0.000
Hg: 0.878 0.378 0.757
Hg: 0.378 0.878 0.757
Hg: 0.122 0.622 0.243
Hg: 0.622 0.122 0.243

Output
calculated total energy = -2.4016 eV/atom
energy of formation = -42 kJ per mole of atoms

***

Density functional theory data (GGA-PBE) for Pu2US3 after structural relaxation.

Cell lengths 3.930, 5.525, 7.186 Å; angles 112.61, 90.00, 90.00 degrees
Site moments in Bohr magnetons follow the coordinates.
Sites, in units of the cell vectors:
Pu: 0.500 0.354 0.709  5.42
Pu: 0.500 0.646 0.291  5.42
U: 0.000 0.000 0.000  2.51
S: 0.500 0.853 0.706  -0.10
S: 0.500 0.147 0.294  -0.10
S: 0.000 0.500 0.000  -0.10

Output
calculated total energy = -10.1241 eV/atom
formation energy without anion corrections = -1402 meV per atom

***

Density functional theory data (GGA-PBE) for MnGaSiRh after structural relaxation.

Cell lengths 4.147, 4.147, 4.147 Å; angles 60.00, 60.00, 60.00 degrees
Sites, in units of the cell vectors:
Si: 0.250 0.250 0.250
Mn: 0.500 0.500 0.500
Rh: 0.000 0.000 0.000
Ga: 0.750 0.750 0.750

Output
calculated total energy = -6.6070 eV/atom
formation energy without anion corrections = -364 meV per atom

***

Density functional theory data (GGA-PBE) for Ti2MnZnRe after structural relaxation.

Cell lengths 4.438, 4.454, 4.438 Å; angles 90.00, 90.00, 90.00 degrees
Sites, in units of the cell vectors:
Re: 0.000 0.500 0.000
Zn: 0.500 0.500 0.500
Mn: 0.000 0.000 0.000
Ti: 0.000 0.000 0.500
Ti: 0.500 0.000 0.000

Output
calculated total energy = -7.1127 eV/atom
energy of formation = 60 kJ per mole of atoms

***

Density functional theory data (GGA-PBE) for ScTl2Mo after structural relaxation.

Cell lengths 4.375, 3.082, 6.888 Å; angles 63.49, 90.00, 90.00 degrees
Site moments in Bohr magnetons follow the coordinates.
Sites, in units of the cell vectors:
Mo: 0.500 0.250 0.250  0.00
Sc: 0.500 0.750 0.750  0.32
Tl: 0.000 0.992 0.009  0.00
Tl: 0.000 0.508 0.491  0.00

Output
calculated total energy = -5.1556 eV/atom
energy of formation = 31 kJ per mole of atoms

***

Density functional theory data (GGA-PBE) for Re2SiPt after structural relaxation.

Cell lengths 5.426, 4.406, 5.521 Å; angles 90.00, 116.97, 90.00 degrees
Sites, in units of the cell vectors:
Re: 0.215 0.500 0.971
Re: 0.493 0.000 0.075
Re: 0.693 0.500 0.907
Re: 0.022 0.000 0.187
Si: 0.287 0.500 0.453
Si: 0.057 0.000 0.655
Pt: 0.584 0.000 0.599
Pt: 0.808 0.500 0.430

Output
calculated total energy = -9.2147 eV/atom
formation energy without anion corrections = -125 meV per atom

***

Density functional theory data (GGA-PBE) for Hf2FeCoGe after structural relaxation.

Cell lengths 4.694, 4.316, 4.694 Å; angles 90.00, 90.00, 90.00 degrees
Site moments in Bohr magnetons follow the coordinates.
Sites, in units of the cell vectors:
Co: 0.000 0.000 0.000  0.40
Ge: 0.500 0.500 0.500  0.00
Hf: 0.000 0.000 0.500  -0.16
Hf: 0.500 0.000 0.000  -0.21
Fe: 0.000 0.500 0.000  2.57

Output
calculated total energy = -7.7317 eV/atom
energy of formation = 28 kJ per mole of atoms

***

Density functional theory data (GGA-PBE) for RbPu6Se8 after structural relaxation.

Cell lengths 3.564, 10.526, 10.526 Å; angles 120.00, 90.00, 90.00 degrees
Site moments in Bohr magnetons follow the coordinates.
Sites, in units of the cell vectors:
Rb: 0.500 0.000 0.000  0.00
Pu: 0.749 0.511 0.583  1.36
Pu: 0.749 0.417 0.928  1.36
Pu: 0.749 0.072 0.489  1.36
Pu: 0.251 0.489 0.417  1.36
Pu: 0.251 0.583 0.072  1.36
Pu: 0.251 0.928 0.511  1.36
Se: 0.762 0.665 0.899  -0.02
Se: 0.762 0.101 0.766  -0.02
Se: 0.762 0.234 0.335  -0.02
Se: 0.238 0.335 0.101  -0.02
Se: 0.238 0.899 0.234  -0.02
Se: 0.238 0.766 0.665  -0.02
Se: 0.749 0.667 0.333  -0.03
Se: 0.251 0.333 0.667  -0.03

Output
calculated total energy = -8.3631 eV/atom
formation energy without anion corrections = -707 meV per atom

***

Density functional theory data (GGA-PBE) for Ho4InRu3 after structural relaxation.

Cell lengths 4.855, 7.124, 9.713 Å; angles 90.00, 90.00, 90.00 degrees
Sites, in units of the cell vectors:
Ru: 0.000 0.000 0.000
Ru: 0.000 0.000 0.500
Ru: 0.500 0.000 0.750
Ru: 0.500 0.000 0.250
Ru: 0.500 0.500 0.750
Ru: 0.500 0.500 0.250
Ho: 0.500 0.768 0.000
Ho: 0.500 0.768 0.500
Ho: 0.500 0.232 0.000
Ho: 0.500 0.232 0.500
Ho: 0.000 0.768 0.750
Ho: 0.000 0.768 0.250
Ho: 0.000 0.232 0.250
Ho: 0.000 0.232 0.750
In: 0.000 0.500 0.000
In: 0.000 0.500 0.500

Output
calculated total energy = -6.4913 eV/atom
energy of formation = -37 kJ per mole of atoms

***

Density functional theory data (GGA-PBE) for RbU3F10 after structural relaxation.

Cell lengths 8.670, 8.670, 8.670 Å; angles 60.00, 60.00, 60.00 degrees
Site moments in Bohr magnetons follow the coordinates.
Sites, in units of the cell vectors:
Rb: 0.250 0.250 0.250  0.00
Rb: 0.750 0.750 0.750  0.00
U: 0.744 0.744 0.256  2.83
U: 0.744 0.256 0.744  2.83
U: 0.256 0.744 0.744  2.83
U: 0.256 0.256 0.744  2.83
U: 0.744 0.256 0.256  2.83
U: 0.256 0.744 0.256  2.83
F: 0.000 0.000 0.340  -0.01
F: 0.000 0.340 0.000  -0.01
F: 0.340 0.000 0.000  -0.01
F: 0.660 0.340 0.000  -0.01
F: 0.388 0.388 0.388  0.00
F: 0.164 0.612 0.612  0.00
F: 0.388 0.836 0.388  0.00
F: 0.660 0.000 0.340  -0.01
F: 0.388 0.388 0.836  0.00
F: 0.836 0.388 0.388  0.00
F: 0.612 0.612 0.164  0.00
F: 0.000 0.000 0.660  -0.01
F: 0.340 0.660 0.000  -0.01
F: 0.000 0.660 0.340  -0.01
F: 0.000 0.340 0.660  -0.01
F: 0.660 0.000 0.000  -0.01
F: 0.612 0.612 0.612  0.00
F: 0.000 0.660 0.000  -0.01
F: 0.612 0.164 0.612  0.00
F: 0.340 0.000 0.660  -0.01

Output
calculated total energy = -7.1384 eV/atom
formation energy without anion corrections = -3314 meV per atom